No. 1
# SrCaMn2Pd

A relaxed SrCaMn2Pd crystal (PBE, Alexandria).

Calculated values
The energy relative to the elements comes out at 1.680 eV per atom.

abc: 4.873 5.600 4.873
angles: 90.00 90.00 90.00
Element x y z (fractional)
Sr 0.000 0.000 0.000
Ca 0.000 0.500 0.000
Mn 0.000 0.000 0.500
Mn 0.500 0.000 0.000
Pd 0.500 0.500 0.500

=====

No. 2
# CaMnTcPd2

A relaxed CaMnTcPd2 crystal (PBE, Alexandria).

Calculated values
The energy relative to the elements comes out at 0.462 eV per atom.

abc: 4.974 4.974 4.397
angles: 90.00 90.00 90.00
Element x y z (fractional)
Ca 0.500 0.500 0.500
Mn 0.000 0.000 0.500
Tc 0.000 0.000 0.000
Pd 0.000 0.500 0.000
Pd 0.500 0.000 0.000

=====

No. 3
# Ca2MnTePd

A relaxed Ca2MnTePd crystal (PBE, Alexandria).

Calculated values
The calculation puts the uncorrected formation energy at 0.1667 eV/atom.

abc: 5.797 4.841 5.797
angles: 90.00 90.00 90.00
Element x y z (fractional)
Mn 0.000 0.500 0.000
Ca 0.000 0.000 0.500
Ca 0.500 0.000 0.000
Te 0.000 0.000 0.000
Pd 0.500 0.500 0.500

=====

No. 4
# CaMn2VPd

A relaxed CaMn2VPd crystal (PBE, Alexandria).

Calculated values
The energy relative to the elements comes out at 0.707 eV per atom.

abc: 4.952 4.952 4.836
angles: 90.00 90.00 90.00
Element x y z (fractional)
Ca 0.500 0.500 0.500
Mn 0.000 0.500 0.000
Mn 0.500 0.000 0.000
Pd 0.000 0.000 0.000
V 0.000 0.000 0.500